# 1
Below is a relaxed structure of ZrInSnI2, with properties calculated at the GGA-PBEsol level.

Lattice parameters (Å, degrees): 5.689 5.908 5.908 90.00 90.00 90.00
Fractional positions:
I1 0.000 0.000 0.500
I2 0.000 0.500 0.000
Sn1 0.000 0.000 0.000
Zr1 0.500 0.000 0.000
In1 0.500 0.500 0.500

Properties
**Total moment**: 2.3 μB/f.u.
**N(E_F)**: 5.38 states/eV/cell
**Raw formation energy**: 0.62 eV/atom


# 2
Below is a relaxed structure of SrInTeI2, with properties calculated at the GGA-PBEsol level.

Lattice parameters (Å, degrees): 5.752 5.815 5.815 90.00 90.00 90.00
Fractional positions:
I1 0.000 0.000 0.500
I2 0.000 0.500 0.000
Sr1 0.500 0.500 0.500
Te1 0.500 0.000 0.000
In1 0.000 0.000 0.000

Properties
**Total moment**: 0.0 μB/f.u.
**N(E_F)**: 0.93 states/eV/cell
**Raw formation energy**: -0.67 eV/atom


| no. | DFT total energy (eV/atom) |
| --- | --- |
| 1 | -3.3495 |
| 2 | -3.0439 |